(1)
# Ac2YNbO8 (GGA-PBE, optimized geometry)
# E_form (uncorrected)	-2.75	eV per atom
data_Ac2YNbO8
_space_group_name_H-M_alt 'P 1 2/m 1'
_space_group_IT_number 10
_space_group_name_Hall '-P 2y'
_cell_length_a 4.1723
_cell_length_b 7.4034
_cell_length_c 5.6706
_cell_angle_alpha 90.00
_cell_angle_beta 90.18
_cell_angle_gamma 90.00
loop_
_atom_site_label
_atom_site_type_symbol
_atom_site_fract_x
_atom_site_fract_y
_atom_site_fract_z
_atom_site_occupancy
Ac1 Ac 0.0000 0.2503 0.0000 1
Y1 Y 0.5000 0.0000 0.5000 1
Nb1 Nb 0.5000 0.5000 0.5000 1
O1 O 0.0017 0.0000 0.2612 1
O2 O 0.0024 0.5000 0.3682 1
O3 O 0.4985 0.2904 0.7330 1

=====

(2)
# AcZrNbO6 (GGA-PBE, optimized geometry)
# E_form (uncorrected)	-3.00	eV per atom
data_AcZrNbO6
_space_group_name_H-M_alt 'P 42 n m'
_space_group_IT_number 102
_space_group_name_Hall 'P 4n -2n'
_cell_length_a 5.1089
_cell_length_b 5.1089
_cell_length_c 10.2559
_cell_angle_alpha 90.00
_cell_angle_beta 90.00
_cell_angle_gamma 90.00
loop_
_atom_site_label
_atom_site_type_symbol
_atom_site_fract_x
_atom_site_fract_y
_atom_site_fract_z
_atom_site_occupancy
Ac1 Ac 0.0000 0.0000 0.0000 1
Zr1 Zr 0.0000 0.0000 0.3336 1
Nb1 Nb 0.0000 0.0000 0.6670 1
O1 O 0.1688 0.1688 0.5050 1
O2 O 0.2073 0.2073 0.8003 1
O3 O 0.2214 0.2214 0.1918 1

=====

(3)
# AcNb2Os2 (GGA-PBE, optimized geometry)
# E_form	-193	meV/atom
data_AcNb2Os2
_space_group_name_H-M_alt 'I 4/m m m'
_space_group_IT_number 139
_space_group_name_Hall '-I 4 2'
_cell_length_a 4.4886
_cell_length_b 4.4886
_cell_length_c 10.8781
_cell_angle_alpha 90.00
_cell_angle_beta 90.00
_cell_angle_gamma 90.00
loop_
_atom_site_label
_atom_site_type_symbol
_atom_site_fract_x
_atom_site_fract_y
_atom_site_fract_z
_atom_site_occupancy
Ac1 Ac 0.0000 0.0000 0.0000 1
Nb1 Nb 0.0000 0.5000 0.2500 1
Os1 Os 0.0000 0.0000 0.3778 1

=====

(4)
# AcNbP2 (GGA-PBE, optimized geometry)
# E_form	-968	meV/atom
data_AcNbP2
_space_group_name_H-M_alt 'R -3 m'
_space_group_IT_number 166
_space_group_name_Hall '-R 3 2"'
_cell_length_a 3.9086
_cell_length_b 3.9086
_cell_length_c 19.9423
_cell_angle_alpha 90.00
_cell_angle_beta 90.00
_cell_angle_gamma 120.00
loop_
_atom_site_label
_atom_site_type_symbol
_atom_site_fract_x
_atom_site_fract_y
_atom_site_fract_z
_atom_site_occupancy
Ac1 Ac 0.0000 0.0000 0.0000 1
Nb1 Nb 0.0000 0.0000 0.5000 1
P1 P 0.0000 0.0000 0.2331 1

=====

(5)
# AcNbP (GGA-PBE, optimized geometry)
# E_form	-492	meV/atom
data_AcNbP
_space_group_name_H-M_alt 'P 1 21/c 1'
_space_group_IT_number 14
_space_group_name_Hall '-P 2ybc'
_cell_length_a 6.1525
_cell_length_b 7.9170
_cell_length_c 6.7493
_cell_angle_alpha 90.00
_cell_angle_beta 107.34
_cell_angle_gamma 90.00
loop_
_atom_site_label
_atom_site_type_symbol
_atom_site_fract_x
_atom_site_fract_y
_atom_site_fract_z
_atom_site_occupancy
Ac1 Ac 0.1523 0.0065 0.2960 1
Nb1 Nb 0.4280 0.6624 0.4006 1
P1 P 0.3592 0.1208 0.7293 1

=====

(6)
# AcNbP (GGA-PBE, optimized geometry)
# E_form	-417	meV/atom
data_AcNbP
_space_group_name_H-M_alt 'P -6 m 2'
_space_group_IT_number 187
_space_group_name_Hall 'P -6 2'
_cell_length_a 4.3316
_cell_length_b 4.3316
_cell_length_c 4.6176
_cell_angle_alpha 90.00
_cell_angle_beta 90.00
_cell_angle_gamma 120.00
loop_
_atom_site_label
_atom_site_type_symbol
_atom_site_fract_x
_atom_site_fract_y
_atom_site_fract_z
_atom_site_occupancy
Ac1 Ac 0.0000 0.0000 0.0000 1
Nb1 Nb 0.6667 0.3333 0.5000 1
P1 P 0.3333 0.6667 0.5000 1

=====

(7)
# AcNbP2 (GGA-PBE, optimized geometry)
# E_form	-665	meV/atom
data_AcNbP2
_space_group_name_H-M_alt 'P 4/m m m'
_space_group_IT_number 123
_space_group_name_Hall '-P 4 2'
_cell_length_a 3.3643
_cell_length_b 3.3643
_cell_length_c 7.0293
_cell_angle_alpha 90.00
_cell_angle_beta 90.00
_cell_angle_gamma 90.00
loop_
_atom_site_label
_atom_site_type_symbol
_atom_site_fract_x
_atom_site_fract_y
_atom_site_fract_z
_atom_site_occupancy
Ac1 Ac 0.0000 0.0000 0.0000 1
Nb1 Nb 0.0000 0.0000 0.5000 1
P1 P 0.5000 0.5000 0.3057 1

=====

(8)
# AcNbP2Ru (GGA-PBE, optimized geometry)
# E_form	-872	meV/atom
data_AcNbP2Ru
_space_group_name_H-M_alt 'I -4 m 2'
_space_group_IT_number 119
_space_group_name_Hall 'I -4 -2'
_cell_length_a 4.0596
_cell_length_b 4.0596
_cell_length_c 12.1846
_cell_angle_alpha 90.00
_cell_angle_beta 90.00
_cell_angle_gamma 90.00
loop_
_atom_site_label
_atom_site_type_symbol
_atom_site_fract_x
_atom_site_fract_y
_atom_site_fract_z
_atom_site_occupancy
Ac1 Ac 0.0000 0.0000 0.0000 1
Nb1 Nb 0.0000 0.5000 0.2500 1
P1 P 0.0000 0.0000 0.3647 1
Ru1 Ru 0.0000 0.5000 0.7500 1

=====

(9)
# AcNbPb (GGA-PBE, optimized geometry)
# E_form	102	meV/atom
data_AcNbPb
_space_group_name_H-M_alt 'P 4/n m m'
_space_group_IT_number 129
_cell_length_a 3.7046
_cell_length_b 3.7046
_cell_length_c 13.0291
_cell_angle_alpha 90.00
_cell_angle_beta 90.00
_cell_angle_gamma 90.00
loop_
_space_group_symop_operation_xyz
'x,y,z'
'-x,-y,-z'
'-y+1/2,x,z'
'y+1/2,-x,-z'
'-x+1/2,-y+1/2,z'
'x+1/2,y+1/2,-z'
'y,-x+1/2,z'
'-y,x+1/2,-z'
'x+1/2,-y,-z'
'-x+1/2,y,z'
'-y,-x,-z'
'y,x,z'
'-x,y+1/2,-z'
'x,-y+1/2,z'
'y+1/2,x+1/2,-z'
'-y+1/2,-x+1/2,z'
loop_
_atom_site_label
_atom_site_type_symbol
_atom_site_fract_x
_atom_site_fract_y
_atom_site_fract_z
_atom_site_occupancy
Ac1 Ac 0.2500 0.2500 0.2203 1
Nb1 Nb 0.2500 0.2500 0.9586 1
Pb1 Pb 0.2500 0.2500 0.5771 1

=====

(10)
# Ac2NbPb (GGA-PBE, optimized geometry)
# E_form	664	meV/atom
data_Ac2NbPb
_space_group_name_H-M_alt 'R -3 m'
_space_group_IT_number 166
_space_group_name_Hall '-R 3 2"'
_cell_length_a 3.5165
_cell_length_b 3.5165
_cell_length_c 36.5065
_cell_angle_alpha 90.00
_cell_angle_beta 90.00
_cell_angle_gamma 120.00
loop_
_atom_site_label
_atom_site_type_symbol
_atom_site_fract_x
_atom_site_fract_y
_atom_site_fract_z
_atom_site_occupancy
Ac1 Ac 0.0000 0.0000 0.0845 1
Nb1 Nb 0.0000 0.0000 0.0000 1
Pb1 Pb 0.0000 0.0000 0.5000 1

=====

(11)
# AcNbPd (GGA-PBE, optimized geometry)
# E_form	-13	meV/atom
data_AcNbPd
_space_group_name_H-M_alt 'C m m m'
_space_group_IT_number 65
_space_group_name_Hall '-C 2 2'
_cell_length_a 5.2319
_cell_length_b 5.2439
_cell_length_c 10.8243
_cell_angle_alpha 90.00
_cell_angle_beta 90.00
_cell_angle_gamma 90.00
loop_
_atom_site_label
_atom_site_type_symbol
_atom_site_fract_x
_atom_site_fract_y
_atom_site_fract_z
_atom_site_occupancy
Ac1 Ac 0.0000 0.0000 0.1762 1
Nb1 Nb 0.0000 0.5000 0.3914 1
Pd1 Pd 0.0000 0.0000 0.5000 1
Pd2 Pd 0.0000 0.5000 0.0000 1

=====

(12)
# Ac2PmNb (GGA-PBE, optimized geometry)
# E_form	787	meV/atom
data_Ac2PmNb
_space_group_name_H-M_alt 'R -3 m'
_space_group_IT_number 166
_space_group_name_Hall '-R 3 2"'
_cell_length_a 3.5553
_cell_length_b 3.5553
_cell_length_c 37.1845
_cell_angle_alpha 90.00
_cell_angle_beta 90.00
_cell_angle_gamma 120.00
loop_
_atom_site_label
_atom_site_type_symbol
_atom_site_fract_x
_atom_site_fract_y
_atom_site_fract_z
_atom_site_occupancy
Ac1 Ac 0.0000 0.0000 0.0811 1
Pm1 Pm 0.0000 0.0000 0.5000 1
Nb1 Nb 0.0000 0.0000 0.0000 1

=====

Number 1: uncorrected energy -8.121 eV/atom. Number 2: uncorrected energy -8.833 eV/atom. Number 3: uncorrected energy -9.534 eV/atom. Number 4: uncorrected energy -7.218 eV/atom. Number 5: uncorrected energy -7.021 eV/atom. Number 6: uncorrected energy -6.946 eV/atom. Number 7: uncorrected energy -6.914 eV/atom. Number 8: uncorrected energy -7.727 eV/atom. Number 9: uncorrected energy -5.860 eV/atom. Number 10: uncorrected energy -4.834 eV/atom. Number 11: uncorrected energy -6.470 eV/atom. Number 12: uncorrected energy -4.972 eV/atom.